K2TcIr: optimized geometry, PBE.

Results
Formation energy: 0.860 eV per atom

Cell: 6.161 6.161 6.161 Å, 141.51 123.63 70.33°
Sites, in units of the cell vectors:
1 Tc 0.427 0.427 0.000
2 K 0.029 0.029 0.000
3 K 0.729 0.229 0.500
4 Ir 0.315 0.815 0.500